Here is a geometry-optimized Dy2ZrPd9 structure from Alexandria via LeMat-Bulk. Energies are from PBE-GGA.

```
Dy2ZrPd9
1.0
4.0864 0.0000 0.0000
0.0000 4.0864 0.0000
0.0000 0.0000 12.3014
Dy Pd Zr
2 9 1
direct
0.0000 0.0000 0.6680
0.0000 0.0000 0.3320
0.5000 0.5000 0.3292
0.5000 0.0000 0.5000
0.5000 0.0000 0.1594
0.5000 0.0000 0.8406
0.0000 0.5000 0.8406
0.0000 0.5000 0.1594
0.5000 0.5000 0.6708
0.0000 0.5000 0.5000
0.5000 0.5000 0.0000
0.0000 0.0000 0.0000
```

- energy of formation (eV/atom) = -0.8683

=====

Here is a geometry-optimized DyZrPd6 structure from Alexandria via LeMat-Bulk. Energies are from PBE-GGA.

```
DyZrPd6
1.0
-2.9606 -0.6835 2.7156
1.7656 -3.5231 1.0381
4.3494 3.8635 5.7141
Pd Zr Dy
6 1 1
direct
0.5000 0.5000 0.5000
0.0000 0.5000 0.2584
0.0000 0.5000 0.7416
0.5000 0.0000 0.7416
0.5000 0.5000 0.0000
0.5000 0.0000 0.2584
0.0000 0.0000 0.5000
0.0000 0.0000 0.0000
```

- energy of formation (eV/atom) = -0.8675

=====

Here is a geometry-optimized DyZr3Pd12 structure from Alexandria via LeMat-Bulk. Energies are from PBE-GGA.

```
DyZr3Pd12
1.0
-1.0096 2.2988 3.1805
-3.7443 -1.5473 -0.0702
4.7090 -11.8524 10.0617
Pd Zr Dy
12 3 1
direct
0.5000 0.5000 0.5000
0.0000 0.5000 0.1309
0.0000 0.5000 0.6231
0.5000 0.0000 0.8691
0.5000 0.0000 0.6231
0.0000 0.5000 0.3769
0.5000 0.5000 0.7459
0.0000 0.5000 0.8691
0.5000 0.0000 0.3769
0.5000 0.0000 0.1309
0.5000 0.5000 0.0000
0.5000 0.5000 0.2541
0.0000 0.0000 0.5000
0.0000 0.0000 0.2500
0.0000 0.0000 0.7500
0.0000 0.0000 0.0000
```

- energy of formation (eV/atom) = -0.8440

=====

Here is a geometry-optimized DyZrPd5 structure from Alexandria via LeMat-Bulk. Energies are from PBE-GGA.

```
DyZrPd5
1.0
4.0402 0.0000 0.0000
0.0000 4.0402 0.0000
0.0000 0.0000 8.0531
Pd Dy Zr
5 1 1
direct
0.5000 0.0000 0.2298
0.0000 0.5000 0.2298
0.0000 0.5000 0.7702
0.5000 0.5000 0.5000
0.5000 0.0000 0.7702
0.0000 0.0000 0.5000
0.5000 0.5000 0.0000
```

- energy of formation (eV/atom) = -0.6373